The following is a DFT calculation (PBE) of Ba8SbS3I4 after structural relaxation.

DOS(E_F) = 0.399 states/eV/atom
total magnetization = 0.0 μB per cell
ρ = 4.713 g/cm³
formation energy from raw total energies = -1.637 eV per atom

Cell lengths 9.8884, 9.8884, 9.8884 Å; angles 57.40, 57.40, 57.40 degrees
Positions (direct):
Ba (0.2243, 0.7435, 0.7435)
Ba (0.2340, 0.2340, 0.2340)
Ba (0.2565, 0.2565, 0.7757)
Ba (0.2565, 0.7757, 0.2565)
Ba (0.7435, 0.2243, 0.7435)
Ba (0.7435, 0.7435, 0.2243)
Ba (0.7660, 0.7660, 0.7660)
Ba (0.7757, 0.2565, 0.2565)
Sb (0.5000, 0.5000, 0.5000)
S (0.0000, 0.0000, 0.5000)
S (0.0000, 0.5000, 0.0000)
S (0.5000, 0.0000, 0.0000)
I (0.0000, 0.0000, 0.0000)
I (0.0000, 0.5000, 0.5000)
I (0.5000, 0.0000, 0.5000)
I (0.5000, 0.5000, 0.0000)

***

The following is a DFT calculation (PBE) of LuCoSnRh after structural relaxation.

formation energy from the elements = -56.04 kJ/mol of atoms
DOS(E_F) = 0.411 states/eV/atom
total magnetization = 1.0 μB per cell
ρ = 11.131 g/cm³

Cell lengths 4.5805, 4.5805, 4.5805 Å; angles 60.00, 60.00, 60.00 degrees
Positions (direct):
Lu (0.0000, 0.0000, 0.0000)
Co (0.2500, 0.2500, 0.2500)
Sn (0.5000, 0.5000, 0.5000)
Rh (0.7500, 0.7500, 0.7500)

***

The following is a DFT calculation (PBE) of Zr2CuHg after structural relaxation.

formation energy from the elements = 1.39 kJ/mol of atoms
DOS(E_F) = 1.272 states/eV/atom
total magnetization = 0.0 μB per cell
ρ = 9.412 g/cm³

Cell lengths 5.4206, 5.4206, 5.4206 Å; angles 134.87, 134.87, 65.73 degrees
Positions (direct):
Zr (0.0000, 0.0000, 0.0000)
Zr (0.7500, 0.2500, 0.5000)
Cu (0.2500, 0.7500, 0.5000)
Hg (0.5000, 0.5000, 0.0000)

***

The following is a DFT calculation (PBE) of Sm3HoTl2O after structural relaxation.

DOS(E_F) = 0.410 states/eV/atom
total magnetization = 0.0 μB per cell
ρ = 9.317 g/cm³
formation energy from raw total energies = -1.059 eV per atom

Cell lengths 9.0006, 9.0006, 9.0006 Å; angles 150.06, 149.26, 43.44 degrees
Positions (direct):
Sm (0.0000, 0.0000, 0.0000)
Sm (0.3285, 0.8285, 0.5000)
Sm (0.6715, 0.1715, 0.5000)
Ho (0.5000, 0.5000, 0.0000)
Tl (0.1383, 0.6383, 0.5000)
Tl (0.8617, 0.3617, 0.5000)
O (0.5000, 0.0000, 0.5000)

***

The following is a DFT calculation (PBE) of Tb5Nd3Y4 after structural relaxation.

formation energy from the elements = 25.83 kJ/mol of atoms
ΔE to the lowest computed polymorph = 3.02 eV/f.u.
DOS(E_F) = 1.319 states/eV/atom
total magnetization = 0.3 μB per cell
ρ = 6.480 g/cm³

Cell lengths 9.5344, 9.5344, 8.7241 Å; angles 116.20, 116.20, 35.25 degrees
Positions (direct):
Tb (0.0000, 0.0000, 0.0000)
Tb (0.3437, 0.3437, 0.1185)
Tb (0.3953, 0.3953, 0.5686)
Tb (0.6047, 0.6047, 0.4314)
Tb (0.6563, 0.6563, 0.8815)
Nd (0.1848, 0.1848, 0.2130)
Nd (0.5000, 0.5000, 0.0000)
Nd (0.8152, 0.8152, 0.7870)
Y (0.0315, 0.0315, 0.6946)
Y (0.2045, 0.2045, 0.6495)
Y (0.7955, 0.7955, 0.3505)
Y (0.9685, 0.9685, 0.3054)

***

The following is a DFT calculation (PBE) of BaLi3Hg3 after structural relaxation.

formation energy from the elements = -19.89 kJ/mol of atoms
ΔE to the lowest computed polymorph = 0.64 eV/f.u.
DOS(E_F) = 0.956 states/eV/atom
total magnetization = 0.0 μB per cell
ρ = 6.384 g/cm³

Cell lengths 7.3392, 7.3392, 7.3392 Å; angles 90.00, 90.00, 90.00 degrees
Positions (direct):
Ba (0.0000, 0.0000, 0.0000)
Ba (0.5000, 0.5000, 0.5000)
Li (0.0000, 0.2500, 0.5000)
Li (0.0000, 0.7500, 0.5000)
Li (0.2500, 0.5000, 0.0000)
Li (0.5000, 0.0000, 0.2500)
Li (0.5000, 0.0000, 0.7500)
Li (0.7500, 0.5000, 0.0000)
Hg (0.0000, 0.5000, 0.2500)
Hg (0.0000, 0.5000, 0.7500)
Hg (0.2500, 0.0000, 0.5000)
Hg (0.5000, 0.2500, 0.0000)
Hg (0.5000, 0.7500, 0.0000)
Hg (0.7500, 0.0000, 0.5000)